(1)
Entry from OQMD: a relaxed structure of SmBeCo (PBE).

The structure belongs to space group F-43m (No. 216); the cell edges are 6.055, 6.055 and 6.055 Å and the angles 90.00°, 90.00° and 90.00°. The distinct sites, in fractional coordinates, are Sm at (0.000, 0.000, 0.000), Be at (0.000, 0.000, 0.500) and Co at (0.250, 0.250, 0.750).

The energy is -4.8671 eV/atom. The offset from the most stable computed form comes out at 0.000 eV per formula unit.

(2)
Entry from OQMD: a relaxed structure of SmBeCo (PBE).

The structure belongs to space group F-43m (No. 216); the cell edges are 6.236, 6.236 and 6.236 Å and the angles 90.00°, 90.00° and 90.00°. The distinct sites, in fractional coordinates, are Sm at (0.000, 0.000, 0.000), Be at (0.250, 0.250, 0.750) and Co at (0.250, 0.250, 0.250).

The energy is -4.1645 eV/atom. The offset from the most stable computed form comes out at 2.108 eV per formula unit.

- Which of these has the highest offset from the most stable computed form?
  number 2

- energy of number 1 (SmBeCo)?
  -4.8671 eV/atom